Here is NpNiO4F after structural relaxation from the Alexandria database. Energies are from PBE with a Hubbard U.

Computed properties:
The calculation puts the density at 5709 kg/m3. The total magnetic moment comes out at 0.28 μB/atom. As for the energy: -7.298 eV/atom. For the volume, the calculation gives 15.74 Å³/atom.

Cell: 5.496 5.547 7.443 Å, 90.00 103.86 90.00°
Space group P2_1/m (No. 11)
Unique sites:
Np  0.225  0.250  0.181 (multiplicity 2)
Ni  0.094  0.750  0.519 (multiplicity 2)
O  0.088  0.020  0.342 (multiplicity 4)
O  0.364  0.250  0.983 (multiplicity 2)
O  0.451  0.750  0.648 (multiplicity 2)
F  0.130  0.750  0.014 (multiplicity 2)